This record from Alexandria via LeMat-Bulk describes Li2ZnIr at its PBEsol-relaxed geometry. The functional is meta-GGA SCAN.

Cell and atoms, written as POSCAR:
```
Li2ZnIr
1.0
-2.024 -1.725 0.497
0.154 -0.987 -4.351
3.861 -1.839 2.756
Li Ir Zn
2 1 1
Direct
0.500 0.500 0.500
0.000 0.000 0.500
0.000 0.500 0.000
0.500 0.000 0.000
```

Calculated values
- DFT total energy: -22.61 eV per atom
- Formation enthalpy at 0 K: -0.257 eV per atom
- DOS(E_F): 0.378 states/eV/atom